1.
VASP calculation (PBE) on crystalline MoOsS2N at its relaxed geometry.

Its raw formation energy is 793.0 meV/atom. The excess energy over the best structure of this formula in the dataset is 0.00 eV/f.u.

Unit cell a=4.801 b=4.801 c=3.657 alpha=90.00 beta=90.00 gamma=90.00
Sites, in units of the cell vectors:
Mo 0.000 0.000 0.000
Os 0.500 0.500 0.500
S 0.000 0.500 0.500
S 0.500 0.000 0.500
N 0.500 0.500 0.000

=====

2.
VASP calculation (PBE) on crystalline Mg4FeNi at its relaxed geometry.

The value obtained for the formation energy is 0.5844 eV per atom.

Unit cell a=5.408 b=5.408 c=5.408 alpha=60.00 beta=60.00 gamma=60.00
Sites, in units of the cell vectors:
Mg 0.125 0.125 0.125
Mg 0.125 0.125 0.624
Mg 0.125 0.624 0.125
Mg 0.624 0.125 0.125
Fe 0.500 0.500 0.500
Ni 0.750 0.750 0.750

=====

3.
VASP calculation (PBE) on crystalline Li4TlCl at its relaxed geometry.

Its raw formation energy is -179.5 meV/atom.

Unit cell a=5.736 b=5.736 c=5.736 alpha=60.00 beta=60.00 gamma=60.00
Sites, in units of the cell vectors:
Li 0.124 0.124 0.124
Li 0.124 0.124 0.627
Li 0.124 0.627 0.124
Li 0.627 0.124 0.124
Tl 0.750 0.750 0.750
Cl 0.500 0.500 0.500